Entry from Alexandria via LeMat-Bulk: a relaxed Zn3Cu7Ni crystal (PBE-GGA).

Calculated values
VASP energy in hartree per atom: -0.12840
SG: Cm, No. 8
Crystal system: monoclinic
Formation energy from the elements in eV/atom: -0.014

Unit cell a=4.4951 b=4.4951 c=7.5752 alpha=95.55 beta=95.55 gamma=110.89
Fractional positions:
Zn 0.0000 0.0000 0.0000
Zn 0.0849 0.6931 0.5440
Zn 0.6931 0.0849 0.5440
Cu 0.0389 0.5464 0.1805
Cu 0.0983 0.0983 0.3457
Cu 0.3945 0.3945 0.6738
Cu 0.4584 0.9469 0.8394
Cu 0.5464 0.0389 0.1805
Cu 0.5746 0.5746 0.3462
Cu 0.9469 0.4584 0.8394
Ni 0.4955 0.4955 0.0117